[1]
Here is GaHgPd after structural relaxation from Alexandria. Energies are from PBE.

As for the density of states at the Fermi level: 1.46 states/eV/cell. The value obtained for the formation energy is -169.9 meV per atom. The space group is P3m1 (156). Its crystal system is trigonal. The calculation puts the energy relative to the lowest polymorph listed for this composition at 1.35 kJ per mole of atoms. The volume comes out at 54.7 Å³ per cell.

```
GaHgPd
1.0
-3.1206 0.5032 0.0191
-0.0214 -0.3022 4.4583
0.6270 3.9626 -1.9678
Ga Hg Pd
1 1 1
direct
0.1677 0.0000 0.0000
0.6667 0.6667 0.3333
0.1656 0.3333 0.6667
```


[2]
Here is GaHg3Pd after structural relaxation from Alexandria. Energies are from PBE.

As for the density of states at the Fermi level: 2.97 states/eV/cell. The value obtained for the formation energy is 488.4 meV per atom. The space group is Pm-3m (221). Its crystal system is cubic. The calculation puts the energy relative to the lowest polymorph listed for this composition at 32.54 kJ per mole of atoms. The volume comes out at 136.8 Å³ per cell.

```
GaHg3Pd
1.0
-4.5774 2.0748 1.1374
-0.4523 -3.1985 4.0144
2.3224 3.4664 3.0235
Pd Hg Ga
1 3 1
direct
0.5000 0.5000 0.5000
0.0000 0.5000 0.0000
0.0000 0.0000 0.5000
0.5000 0.0000 0.0000
0.0000 0.0000 0.0000
```